Co2Ni2B: optimized geometry, PBE.

Cell and atoms, written as POSCAR:
```
Co2Ni2B
1.0
5.144 0.000 0.000
0.000 5.144 0.000
0.000 0.000 3.925
Co Ni B
4 4 2
Direct
0.153 0.347 0.000 Co
0.847 0.653 0.000 Co
0.347 0.847 0.000 Co
0.653 0.153 0.000 Co
0.164 0.664 0.500 Ni
0.836 0.336 0.500 Ni
0.336 0.164 0.500 Ni
0.664 0.836 0.500 Ni
0.500 0.500 0.000 B
0.000 0.000 0.000 B
```

The electronic total energy comes out at -6.3637 eV per atom. The total moment comes out at 6.8 μB/cell. The formation energy comes out at 127 meV per atom. The volume is 104 Å³/cell.

Nd3Eu: optimized geometry, PBE.

Cell and atoms, written as POSCAR:
```
Nd3Eu
1.0
5.245 0.000 0.000
0.000 5.245 0.000
-2.622 -2.622 5.259
Nd Eu
3 1
Direct
0.750 0.250 0.500 Nd
0.250 0.750 0.500 Nd
0.500 0.500 0.000 Nd
0.000 0.000 0.000 Eu
```

The electronic total energy comes out at -6.0869 eV per atom. The total moment comes out at 7.3 μB/cell. The value obtained for the distance to the lowest polymorph of the same formula is 1.6 meV/atom. The formation energy comes out at 58 meV per atom. The volume is 145 Å³/cell.

Pm6Ge3Os: optimized geometry, PBE.

Cell and atoms, written as POSCAR:
```
Pm6Ge3Os
1.0
-4.978 -3.920 -5.827
7.400 -4.169 -1.402
-2.623 -4.089 7.107
Ge Pm Os
6 12 2
Direct
0.123 0.296 0.626 Ge
0.877 0.704 0.374 Ge
0.704 0.374 0.877 Ge
0.626 0.123 0.296 Ge
0.374 0.877 0.704 Ge
0.296 0.626 0.123 Ge
0.428 0.188 0.565 Pm
0.435 0.572 0.812 Pm
0.064 0.318 0.956 Pm
0.572 0.812 0.435 Pm
0.188 0.565 0.428 Pm
0.812 0.435 0.572 Pm
0.044 0.936 0.682 Pm
0.936 0.682 0.044 Pm
0.565 0.428 0.188 Pm
0.318 0.956 0.064 Pm
0.682 0.044 0.936 Pm
0.956 0.064 0.318 Pm
0.000 0.000 0.000 Os
0.500 0.500 0.500 Os
```

The electronic total energy comes out at -5.7732 eV per atom. The total moment comes out at 0.0 μB/cell. The formation energy comes out at -415 meV per atom. The volume is 608 Å³/cell.